1) VASP calculation (PBE) on crystalline Mo2Ir2Cl at its relaxed geometry.

Structure (POSCAR):
```
Mo2Ir2Cl
1.0
3.723 0.000 0.000
0.000 3.723 0.000
1.861 1.861 6.479
Ir Cl Mo
2 1 2
direct
0.250 0.750 0.500
0.750 0.250 0.500
0.000 0.000 0.000
0.611 0.611 0.778
0.389 0.389 0.222
```

Computed properties:
Mass density = 11314 kg/m³
Total moment = 0.00 μB per cell

---

2) VASP calculation (PBE) on crystalline Mo2Ir2Cl at its relaxed geometry.

Structure (POSCAR):
```
Mo2Ir2Cl
1.0
7.680 0.000 0.000
0.000 7.680 0.000
0.000 0.000 2.824
Ir Cl Mo
4 2 4
direct
0.126 0.626 0.500
0.374 0.126 0.500
0.874 0.374 0.500
0.626 0.874 0.500
0.000 0.000 0.000
0.500 0.500 0.000
0.667 0.167 0.000
0.167 0.333 0.000
0.333 0.833 0.000
0.833 0.667 0.000
```

Computed properties:
Mass density = 12197 kg/m³
Total moment = 0.00 μB per cell

---

Energy ordering: 2) at the bottom, the next structure 0.322 eV/atom above.

---

1) VASP calculation (PBE) on crystalline MoIr3Cl at its relaxed geometry.

Structure (POSCAR):
```
MoIr3Cl
1.0
-3.182 -3.558 -0.274
-0.029 -0.341 4.769
-3.569 3.175 0.205
Mo Cl Ir
1 1 3
direct
0.000 0.000 0.000
0.500 0.500 0.500
0.000 0.500 0.000
0.000 0.000 0.500
0.500 0.000 0.000
```

Computed properties:
Mass density = 10755 kg/m³
Total moment = 1.12 μB per cell

---

2) VASP calculation (PBE) on crystalline MoIr3Cl at its relaxed geometry.

Structure (POSCAR):
```
MoIr3Cl
1.0
-4.025 1.653 0.708
-1.730 -4.033 -0.419
0.490 -0.661 4.331
Cl Ir Mo
1 3 1
direct
0.000 0.000 0.000
0.000 0.000 0.500
0.000 0.500 0.000
0.500 0.000 0.000
0.500 0.500 0.500
```

Computed properties:
Mass density = 13725 kg/m³
Total moment = 2.57 μB per cell

---

Energy ordering: 2) at the bottom, the next structure 0.196 eV/atom above.

---

1) VASP calculation (PBE) on crystalline MoP2IrCl at its relaxed geometry.

Structure (POSCAR):
```
MoP2IrCl
1.0
-0.249 -3.606 -3.020
3.154 2.115 -2.786
3.377 -2.100 2.230
P Mo Ir Cl
2 1 1 1
direct
0.000 0.500 0.000
0.500 0.000 0.000
0.000 0.000 0.000
0.500 0.500 0.500
0.000 0.000 0.500
```

Computed properties:
Mass density = 6331 kg/m³
Total moment = 1.50 μB per cell

---

2) VASP calculation (PBE) on crystalline MoP2IrCl at its relaxed geometry.

Structure (POSCAR):
```
MoP2IrCl
1.0
-0.646 3.649 2.669
-4.508 -0.724 -0.101
0.374 -2.898 4.052
P Mo Ir Cl
2 1 1 1
direct
0.000 0.500 0.000
0.500 0.000 0.000
0.500 0.500 0.500
0.000 0.000 0.000
0.000 0.000 0.500
```

Computed properties:
Mass density = 6146 kg/m³
Total moment = 3.70 μB per cell

---

Energy ordering: 2) at the bottom, the next structure 0.106 eV/atom above.

---

1) VASP calculation (PBE) on crystalline MoIrSCl2 at its relaxed geometry.

Structure (POSCAR):
```
MoIrSCl2
1.0
4.994 0.000 0.000
0.000 4.994 0.000
0.000 0.000 4.474
Ir Cl Mo S
1 2 1 1
direct
0.000 0.000 0.000
0.500 0.000 0.000
0.000 0.500 0.000
0.500 0.500 0.500
0.000 0.000 0.500
```

Computed properties:
Mass density = 5820 kg/m³
Total moment = 4.43 μB per cell

---

2) VASP calculation (PBE) on crystalline MoIrSCl2 at its relaxed geometry.

Structure (POSCAR):
```
MoIrSCl2
1.0
-4.714 1.075 -0.245
-0.696 -2.073 4.319
0.823 4.085 2.093
Cl Ir S Mo
2 1 1 1
direct
0.500 0.000 0.000
0.000 0.500 0.000
0.500 0.500 0.500
0.000 0.000 0.500
0.000 0.000 0.000
```

Computed properties:
Mass density = 5943 kg/m³
Total moment = 4.06 μB per cell

---

Energy ordering: 1) at the bottom, the next structure 0.141 eV/atom above.